VASP calculation (PBE-GGA) on an optimized crystal structure of TaFePb4.

Lattice parameters (Å, degrees): 8.785 8.785 8.785 90.00 90.00 90.00
Space group F-43m (No. 216)
Inequivalent atoms, fractional coordinates:
Ta1 0.000 0.000 0.000 (multiplicity 4)
Fe1 0.250 0.250 0.750 (multiplicity 4)
Pb1 0.125 0.125 0.375 (multiplicity 16)

Results
ΔE_f (eV per atom): 1.2682
Total energy (eV/atom): -4.590